(1)
Entry from Alexandria via LeMat-Bulk: a geometry-optimized Tb3U5As8 structure (GGA-PBE).

## Properties
Magnetization   0.779 μB per atom
Symmetry   R-3m (166)
Calculated density   9.63 g cm⁻³

Unit cell a=8.1693 b=8.1693 c=8.2451 alpha=60.30 beta=60.30 gamma=60.00
Each line ends with the local moment (μB).
Fractional coordinates of all 16 atoms:
Tb1 0.5000 0.0000 0.5000  0.01
Tb2 0.0000 0.0000 0.5000  0.01
Tb3 0.0000 0.5000 0.5000  0.01
U1 0.5000 0.0000 0.0000  2.28
U2 0.5000 0.5000 0.0000  2.28
U3 0.0000 0.0000 0.0000  2.29
U4 0.0000 0.5000 0.0000  2.28
U5 0.5000 0.5000 0.5000  2.27
As1 0.2501 0.2501 0.7513  -0.06
As2 0.2501 0.7484 0.7513  -0.06
As3 0.7484 0.2501 0.7513  -0.06
As4 0.7487 0.7487 0.7539  -0.05
As5 0.7499 0.7499 0.2487  -0.06
As6 0.7499 0.2516 0.2487  -0.06
As7 0.2516 0.7499 0.2487  -0.06
As8 0.2513 0.2513 0.2461  -0.05

=====

(2)
Entry from Alexandria via LeMat-Bulk: a geometry-optimized TbUAs structure (GGA-PBE).

## Properties
Magnetization   0.000 μB per atom
Symmetry   Cmcm (63)
Calculated density   10.98 g cm⁻³

Unit cell a=3.6275 b=3.4632 c=11.4877 alpha=81.33 beta=90.00 gamma=90.00
Fractional coordinates of all 6 atoms:
As1 0.2500 0.1132 0.7736
As2 0.7500 0.8868 0.2264
U1 0.2500 0.4621 0.0759
U2 0.7500 0.5379 0.9241
Tb1 0.7500 0.6887 0.6226
Tb2 0.2500 0.3113 0.3774

=====

(3)
Entry from Alexandria via LeMat-Bulk: a geometry-optimized Tb2UAs3 structure (GGA-PBE).

## Properties
Magnetization   0.403 μB per atom
Symmetry   I4/mmm (139)
Calculated density   8.76 g cm⁻³

Unit cell a=4.1210 b=4.1210 c=9.1831 alpha=102.96 beta=102.97 gamma=90.01
Each line ends with the local moment (μB).
Fractional coordinates of all 6 atoms:
Tb1 0.1020 0.1033 0.2095  0.02
Tb2 0.7665 0.7678 0.5385  0.02
U1 0.4341 0.4359 0.8740  2.22
As1 0.9341 0.9359 0.8740  -0.06
As2 0.2695 0.2708 0.5444  -0.03
As3 0.5991 0.6004 0.2035  -0.03

=====

(4)
Entry from Alexandria via LeMat-Bulk: a geometry-optimized TbU3As4 structure (GGA-PBE).

## Properties
Magnetization   0.948 μB per atom
Symmetry   Cmmm (65)
Calculated density   9.99 g cm⁻³

Unit cell a=4.0568 b=7.1257 c=7.1257 alpha=108.92 beta=90.00 gamma=90.00
Each line ends with the local moment (μB).
Fractional coordinates of all 8 atoms:
U1 0.0000 0.0000 0.5000  2.29
U2 0.5000 0.5000 0.5000  2.31
U3 0.0000 0.5000 0.0000  2.29
As1 0.0000 0.2517 0.2517  -0.06
As2 0.5000 0.7499 0.2501  -0.07
As3 0.0000 0.7483 0.7483  -0.06
As4 0.5000 0.2501 0.7499  -0.07
Tb1 0.5000 0.0000 0.0000  0.01

=====

Number 1: formation enthalpy at 0 K -1.034 eV/atom. Number 2: formation enthalpy at 0 K -0.440 eV/atom. Number 3: formation enthalpy at 0 K -1.272 eV/atom. Number 4: formation enthalpy at 0 K -0.929 eV/atom.